## Pm4AsIrSe2 (PBE)

Data for an optimized crystal structure of Pm4AsIrSe2.

* raw total energy: -6.38 eV per atom
* space group: P2/m
* total magnetic moment: 0.0 μB/cell
* uncorrected formation energy: -1.45 eV per atom
* Fermi-level density of states: 0.773 states/eV per atom

abc: 4.164 7.320 7.399
angles: 108.68 90.00 90.00
Atoms (fractional coordinates):
Pm 0.000 0.754 0.234
Pm 0.500 0.765 0.770
Pm 0.000 0.246 0.766
Pm 0.500 0.235 0.230
As 0.500 0.500 0.000
Se 0.000 0.500 0.500
Se 0.500 0.000 0.500
Ir 0.000 0.000 0.000